No. 1
# HRhSe2N, relaxed, DFT PBE-GGA
data_HRhSe2N
_chemical_formula_sum 'H1 Rh1 Se2 N1'
_cell_length_a 5.1616
_cell_length_b 5.1616
_cell_length_c 3.6056
_cell_angle_alpha 90.00
_cell_angle_beta 90.00
_cell_angle_gamma 90.00
_symmetry_space_group_name_H-M 'P 4/m m m'
_symmetry_Int_Tables_number 123
_symmetry_space_group_name_Hall '-P 4 2'
loop_
_atom_site_label
_atom_site_type_symbol
_atom_site_fract_x
_atom_site_fract_y
_atom_site_fract_z
H1 H 0.0000 0.0000 0.0000
Rh1 Rh 0.5000 0.5000 0.5000
Se1 Se 0.0000 0.5000 0.5000
N1 N 0.5000 0.5000 0.0000
# Fermi-level density of states (states/eV per cell): 4.09
# Energy (eV/atom): -4.1569


No. 2
# Tl3BSe, relaxed, DFT PBE-GGA
data_Tl3BSe
_chemical_formula_sum 'Tl3 B1 Se1'
_cell_length_a 4.9789
_cell_length_b 4.9789
_cell_length_c 4.9789
_cell_angle_alpha 90.00
_cell_angle_beta 90.00
_cell_angle_gamma 90.00
_symmetry_space_group_name_H-M 'P m -3 m'
_symmetry_Int_Tables_number 221
_symmetry_space_group_name_Hall '-P 4 2 3'
loop_
_atom_site_label
_atom_site_type_symbol
_atom_site_fract_x
_atom_site_fract_y
_atom_site_fract_z
Tl1 Tl 0.0000 0.0000 0.5000
B1 B 0.0000 0.0000 0.0000
Se1 Se 0.5000 0.5000 0.5000
# Fermi-level density of states (states/eV per cell): 1.25
# Energy relative to the elements, uncorrected (meV/atom): 369.0
# Energy (eV/atom): -3.0832


No. 3
# BeC5, relaxed, DFT PBE-GGA
data_BeC5
_chemical_formula_sum 'Be1 C5'
_cell_length_a 5.4026
_cell_length_b 5.4026
_cell_length_c 4.1054
_cell_angle_alpha 90.00
_cell_angle_beta 90.00
_cell_angle_gamma 90.00
_symmetry_space_group_name_H-M 'P 4/m m m'
_symmetry_Int_Tables_number 123
_symmetry_space_group_name_Hall '-P 4 2'
loop_
_atom_site_label
_atom_site_type_symbol
_atom_site_fract_x
_atom_site_fract_y
_atom_site_fract_z
Be1 Be 0.0000 0.0000 0.0000
C1 C 0.0000 0.0000 0.3554
C2 C 0.5000 0.5000 0.1669
C3 C 0.5000 0.5000 0.5000
# Fermi-level density of states (states/eV per cell): 4.36
# Energy (eV/atom): -7.0671
# Formation energy from the elements (meV/atom): 1240


Please write out number 3 again, unchanged.
# BeC5, relaxed, DFT PBE-GGA
data_BeC5
_chemical_formula_sum 'Be1 C5'
_cell_length_a 5.4026
_cell_length_b 5.4026
_cell_length_c 4.1054
_cell_angle_alpha 90.00
_cell_angle_beta 90.00
_cell_angle_gamma 90.00
_symmetry_space_group_name_H-M 'P 4/m m m'
_symmetry_Int_Tables_number 123
_symmetry_space_group_name_Hall '-P 4 2'
loop_
_atom_site_label
_atom_site_type_symbol
_atom_site_fract_x
_atom_site_fract_y
_atom_site_fract_z
Be1 Be 0.0000 0.0000 0.0000
C1 C 0.0000 0.0000 0.3554
C2 C 0.5000 0.5000 0.1669
C3 C 0.5000 0.5000 0.5000
# Fermi-level density of states (states/eV per cell): 4.36
# Energy (eV/atom): -7.0671
# Formation energy from the elements (meV/atom): 1240


Please write out number 1 again, unchanged.
# HRhSe2N, relaxed, DFT PBE-GGA
data_HRhSe2N
_chemical_formula_sum 'H1 Rh1 Se2 N1'
_cell_length_a 5.1616
_cell_length_b 5.1616
_cell_length_c 3.6056
_cell_angle_alpha 90.00
_cell_angle_beta 90.00
_cell_angle_gamma 90.00
_symmetry_space_group_name_H-M 'P 4/m m m'
_symmetry_Int_Tables_number 123
_symmetry_space_group_name_Hall '-P 4 2'
loop_
_atom_site_label
_atom_site_type_symbol
_atom_site_fract_x
_atom_site_fract_y
_atom_site_fract_z
H1 H 0.0000 0.0000 0.0000
Rh1 Rh 0.5000 0.5000 0.5000
Se1 Se 0.0000 0.5000 0.5000
N1 N 0.5000 0.5000 0.0000
# Fermi-level density of states (states/eV per cell): 4.09
# Energy (eV/atom): -4.1569


Among the records above, which one has the highest Fermi-level density of states? BeC5


The highest Fermi-level density of states belongs to which entry? BeC5